Entry from Alexandria: a crystal of Zr2BePt relaxed with PBEsol (SCAN). Values from VASP.

```
&SYSTEM
  ibrav = 0, nat = 4, ntyp = 3
/
ATOMIC_SPECIES
Zr 91.22 Zr.upf
Be 9.01 Be.upf
Pt 195.08 Pt.upf
CELL_PARAMETERS angstrom
3.9768 0.0000 0.0000
0.0000 1.7179 5.0708
0.0000 -1.7179 5.0708
ATOMIC_POSITIONS crystal
Zr 0.0000 0.0000 0.0000
Zr 0.5000 0.2986 0.2986
Be 0.0000 0.7282 0.7282
Pt 0.5000 0.5851 0.5851
```

ΔE_f = -763.8 meV per atom


Entry from Alexandria: a crystal of PuBe13 relaxed with PBEsol (SCAN). Values from VASP.

```
&SYSTEM
  ibrav = 0, nat = 28, ntyp = 2
/
ATOMIC_SPECIES
Pu 244.00 Pu.upf
Be 9.01 Be.upf
CELL_PARAMETERS angstrom
0.0000 5.0711 5.0711
5.0711 0.0000 5.0711
5.0711 5.0711 0.0000
ATOMIC_POSITIONS crystal
Pu 0.2500 0.2500 0.2500
Pu 0.7500 0.7500 0.7500
Be 0.0000 0.0000 0.0000
Be 0.0611 0.2915 0.7085
Be 0.0611 0.7085 0.9389
Be 0.0611 0.9389 0.2915
Be 0.2085 0.4389 0.7915
Be 0.2085 0.5611 0.4389
Be 0.2085 0.7915 0.5611
Be 0.2915 0.0611 0.9389
Be 0.2915 0.7085 0.0611
Be 0.2915 0.9389 0.7085
Be 0.4389 0.2085 0.5611
Be 0.4389 0.5611 0.7915
Be 0.4389 0.7915 0.2085
Be 0.5000 0.5000 0.5000
Be 0.5611 0.2085 0.7915
Be 0.5611 0.4389 0.2085
Be 0.5611 0.7915 0.4389
Be 0.7085 0.0611 0.2915
Be 0.7085 0.2915 0.9389
Be 0.7085 0.9389 0.0611
Be 0.7915 0.2085 0.4389
Be 0.7915 0.4389 0.5611
Be 0.7915 0.5611 0.2085
Be 0.9389 0.0611 0.7085
Be 0.9389 0.2915 0.0611
Be 0.9389 0.7085 0.2915
```

ΔE_f = -79.0 meV per atom


Entry from Alexandria: a crystal of RbTi2BeRe relaxed with PBEsol (SCAN). Values from VASP.

```
&SYSTEM
  ibrav = 0, nat = 5, ntyp = 4
/
ATOMIC_SPECIES
Rb 85.47 Rb.upf
Ti 47.87 Ti.upf
Be 9.01 Be.upf
Re 186.21 Re.upf
CELL_PARAMETERS angstrom
4.6911 0.0000 0.0000
0.0000 4.6911 0.0000
0.0000 0.0000 4.2354
ATOMIC_POSITIONS crystal
Rb 0.0000 0.0000 0.0000
Ti 0.0000 0.5000 0.5000
Ti 0.5000 0.0000 0.5000
Be 0.5000 0.5000 0.5000
Re 0.5000 0.5000 0.0000
```

ΔE_f = 1272.7 meV per atom


Entry from Alexandria: a crystal of RbBe2Rh relaxed with PBEsol (SCAN). Values from VASP.

```
&SYSTEM
  ibrav = 0, nat = 8, ntyp = 3
/
ATOMIC_SPECIES
Rb 85.47 Rb.upf
Be 9.01 Be.upf
Rh 102.91 Rh.upf
CELL_PARAMETERS angstrom
-2.6598 2.6598 6.5772
2.6598 -2.6598 6.5772
2.6598 2.6598 -6.5772
ATOMIC_POSITIONS crystal
Rb 0.3750 0.6250 0.7500
Rb 0.6250 0.3750 0.2500
Be 0.0000 0.0000 0.0000
Be 0.0000 0.0000 0.5000
Be 0.0000 0.5000 0.0000
Be 0.5000 0.0000 0.5000
Rh 0.1250 0.8750 0.2500
Rh 0.8750 0.1250 0.7500
```

ΔE_f = 339.3 meV per atom


Entry from Alexandria: a crystal of Rb3BeRh relaxed with PBEsol (SCAN). Values from VASP.

```
&SYSTEM
  ibrav = 0, nat = 5, ntyp = 3
/
ATOMIC_SPECIES
Rb 85.47 Rb.upf
Be 9.01 Be.upf
Rh 102.91 Rh.upf
CELL_PARAMETERS angstrom
6.1628 0.0000 0.0000
0.0000 6.1628 0.0000
0.0000 0.0000 6.1628
ATOMIC_POSITIONS crystal
Rb 0.0000 0.0000 0.5000
Rb 0.0000 0.5000 0.0000
Rb 0.5000 0.0000 0.0000
Be 0.0000 0.0000 0.0000
Rh 0.5000 0.5000 0.5000
```

ΔE_f = 1256.7 meV per atom


Entry from Alexandria: a crystal of Rb2BeS relaxed with PBEsol (SCAN). Values from VASP.

```
&SYSTEM
  ibrav = 0, nat = 8, ntyp = 3
/
ATOMIC_SPECIES
Rb 85.47 Rb.upf
Be 9.01 Be.upf
S 32.06 S.upf
CELL_PARAMETERS angstrom
-2.9411 2.9411 9.8125
2.9411 -2.9411 9.8125
2.9411 2.9411 -9.8125
ATOMIC_POSITIONS crystal
Rb 0.0879 0.6250 0.9629
Rb 0.3750 0.3379 0.4629
Rb 0.6621 0.1250 0.0371
Rb 0.8750 0.9121 0.5371
Be 0.2500 0.7500 0.5000
Be 0.5000 0.5000 0.0000
S 0.0000 0.0000 0.0000
S 0.7500 0.2500 0.5000
```

Formation energy without anion corrections = 0.28 eV/atom


Entry from Alexandria: a crystal of RbBeS2 relaxed with PBEsol (SCAN). Values from VASP.

```
&SYSTEM
  ibrav = 0, nat = 8, ntyp = 3
/
ATOMIC_SPECIES
Rb 85.47 Rb.upf
Be 9.01 Be.upf
S 32.06 S.upf
CELL_PARAMETERS angstrom
-2.8029 2.8029 6.0295
2.8029 -2.8029 6.0295
2.8029 2.8029 -6.0295
ATOMIC_POSITIONS crystal
Rb 0.3750 0.6250 0.7500
Rb 0.6250 0.3750 0.2500
Be 0.1250 0.8750 0.2500
Be 0.8750 0.1250 0.7500
S 0.0000 0.0000 0.0000
S 0.0000 0.0000 0.5000
S 0.0000 0.5000 0.0000
S 0.5000 0.0000 0.5000
```

Formation energy without anion corrections = -0.94 eV/atom


Entry from Alexandria: a crystal of RbBeSb2S relaxed with PBEsol (SCAN). Values from VASP.

```
&SYSTEM
  ibrav = 0, nat = 5, ntyp = 4
/
ATOMIC_SPECIES
Rb 85.47 Rb.upf
Be 9.01 Be.upf
Sb 121.76 Sb.upf
S 32.06 S.upf
CELL_PARAMETERS angstrom
5.8949 0.0000 0.0000
0.0000 5.8949 0.0000
0.0000 0.0000 5.3213
ATOMIC_POSITIONS crystal
Rb 0.0000 0.0000 0.0000
Be 0.5000 0.5000 0.5000
Sb 0.0000 0.5000 0.0000
Sb 0.5000 0.0000 0.0000
S 0.0000 0.0000 0.5000
```

Formation energy without anion corrections = 1.93 eV/atom